# 1
Na2SnSb: optimized geometry, PBE-GGA.

a b c (Å): 11.3936 11.3936 11.3936
angles (deg): 156.66 156.66 33.24
Last column: nearest neighbours and their distance in Å.
Positions (direct):
Na 0.1232 0.6250 0.9982  2 Sb 3.18, 2 Sn 3.18, 4 Na 3.25-3.27
Na 0.3750 0.3732 0.4982  2 Sb 3.18, 2 Sn 3.18, 4 Na 3.25-3.27
Na 0.6268 0.1250 0.0018  2 Sb 3.18, 2 Sn 3.18, 4 Na 3.25-3.27
Na 0.8750 0.8768 0.5018  2 Sb 3.18, 2 Sn 3.18, 4 Na 3.25-3.27
Sn 0.2500 0.7500 0.5000  4 Na 3.18, 4 Sb 3.26
Sn 0.5000 0.5000 0.0000  4 Na 3.18, 4 Sb 3.26
Sb 0.0000 0.0000 0.0000  4 Na 3.18, 4 Sn 3.26
Sb 0.7500 0.2500 0.5000  4 Na 3.18, 4 Sn 3.26

Values from the calculation:
VASP energy: -2.79 eV per atom
Density of states at the Fermi level: 3.79 states/eV per cell
Formation energy from raw total energies: -0.100 eV per atom

=====

# 2
AgOsCl2: optimized geometry, PBE-GGA.

a b c (Å): 8.1886 8.1886 8.1886
angles (deg): 146.41 146.41 48.24
Last column: nearest neighbours and their distance in Å.
Positions (direct):
Ag 0.0000 0.0000 0.0000  4 Cl 2.64
Ag 0.7500 0.2500 0.5000  4 Cl 2.64
Os 0.2500 0.7500 0.5000  4 Cl 2.40
Os 0.5000 0.5000 0.0000  4 Cl 2.40
Cl 0.1799 0.6250 0.0549  2 Os 2.40, 2 Ag 2.64
Cl 0.3750 0.4299 0.5549  2 Os 2.40, 2 Ag 2.64
Cl 0.5701 0.1250 0.9451  2 Os 2.40, 2 Ag 2.64
Cl 0.8750 0.8201 0.4451  2 Os 2.40, 2 Ag 2.64

Values from the calculation:
Distance to the lowest polymorph of the same formula: 562 meV per atom
VASP energy: -3.63 eV per atom
Density of states at the Fermi level: 6.86 states/eV per cell
Formation energy from raw total energies: 0.812 eV per atom

=====

# 3
NaInRh2: optimized geometry, PBE-GGA.

a b c (Å): 5.9544 5.9544 5.9544
angles (deg): 102.42 102.42 124.73
Last column: nearest neighbours and their distance in Å.
Positions (direct):
Na 0.0000 0.0000 0.0000  2 In 2.76, 4 Rh 2.85
Na 0.7500 0.2500 0.5000  2 In 2.76, 4 Rh 2.85
In 0.2500 0.7500 0.5000  4 Rh 2.61, 2 Na 2.76
In 0.5000 0.5000 0.0000  4 Rh 2.61, 2 Na 2.76
Rh 0.1495 0.1250 0.5245  2 In 2.61, 2 Rh 2.79, 2 Na 2.85
Rh 0.3750 0.8505 0.9755  2 In 2.61, 2 Rh 2.79, 2 Na 2.85
Rh 0.6005 0.6250 0.4755  2 In 2.61, 2 Rh 2.79, 2 Na 2.85
Rh 0.8750 0.3995 0.0245  2 In 2.61, 2 Rh 2.79, 2 Na 2.85

Values from the calculation:
VASP energy: -4.32 eV per atom
Density of states at the Fermi level: 10.11 states/eV per cell
Formation energy: 371 meV/atom

=====

# 4
SiIrSe2: optimized geometry, PBE-GGA.

a b c (Å): 3.7306 3.7073 5.2036
angles (deg): 90.00 90.53 90.00
Last column: nearest neighbours and their distance in Å.
Positions (direct):
Si 0.0000 0.0000 0.0000  6 Se 2.60-2.63
Ir 0.5000 0.5000 0.5000  6 Se 2.60-2.63
Se 0.0000 0.0000 0.5000  2 Si 2.60, 4 Ir 2.63
Se 0.5000 0.5000 0.0000  2 Ir 2.60, 4 Si 2.63

Values from the calculation:
VASP energy: -5.09 eV per atom
Density of states at the Fermi level: 2.24 states/eV per cell
Formation energy from raw total energies: 0.222 eV per atom

=====

# 5
BaLiLaPb: optimized geometry, PBE-GGA.

a b c (Å): 5.8145 5.8145 5.8145
angles (deg): 60.00 60.00 60.00
Last column: nearest neighbours and their distance in Å.
Positions (direct):
Ba 0.0000 0.0000 0.0000  4 Pb 3.56, 4 Li 3.56
Li 0.2500 0.2500 0.2500  4 Ba 3.56, 4 La 3.56
La 0.5000 0.5000 0.5000  4 Pb 3.56, 4 Li 3.56
Pb 0.7500 0.7500 0.7500  4 La 3.56, 4 Ba 3.56

Values from the calculation:
VASP energy: -3.40 eV per atom
Density of states at the Fermi level: 2.49 states/eV per cell
Formation energy: -283 meV/atom

=====

# 6
Dy5SiBi2: optimized geometry, PBE-GGA.

a b c (Å): 5.7579 5.7579 16.1727
angles (deg): 90.00 90.00 118.22
Last column: nearest neighbours and their distance in Å.
Positions (direct):
Dy 0.0778 0.9222 0.6064  1 Si 2.81
Dy 0.0778 0.9222 0.8936  1 Si 2.81
Dy 0.2488 0.7512 0.2500  2 Si 2.96, 2 Bi 3.04
Dy 0.4167 0.5833 0.6132  1 Si 2.84
Dy 0.4167 0.5833 0.8868  1 Si 2.84
Dy 0.5833 0.4167 0.1132  1 Si 2.84
Dy 0.5833 0.4167 0.3868  1 Si 2.84
Dy 0.7512 0.2488 0.7500  2 Si 2.96, 2 Bi 3.04
Dy 0.9222 0.0778 0.1064  1 Si 2.81
Dy 0.9222 0.0778 0.3936  1 Si 2.81
Si 0.2372 0.7628 0.7500  6 Dy 2.81-2.96
Si 0.7628 0.2372 0.2500  6 Dy 2.81-2.96
Bi 0.2569 0.7431 0.0621  5 Dy 3.04-3.38
Bi 0.2569 0.7431 0.4379  5 Dy 3.04-3.38
Bi 0.7431 0.2569 0.5621  5 Dy 3.04-3.38
Bi 0.7431 0.2569 0.9379  5 Dy 3.04-3.38

Values from the calculation:
VASP energy: -4.87 eV per atom
Density of states at the Fermi level: 19.15 states/eV per cell
Formation energy from raw total energies: -0.343 eV per atom